No. 1
Below is an optimized crystal structure of MgNb2TcHg, with properties calculated at the PBE level.

Lattice parameters (Å, degrees): 4.7610 4.7610 4.5211 90.00 90.00 90.00
With the nearest neighbours (Å) after each atom.
Fractional coordinates of all 5 atoms:
Mg 0.0000 0.0000 0.0000  2 Tc 2.26, 4 Nb 2.38
Nb 0.0000 0.5000 0.0000  2 Mg 2.38
Nb 0.5000 0.0000 0.0000  2 Mg 2.38
Tc 0.0000 0.0000 0.5000  2 Mg 2.26
Hg 0.5000 0.5000 0.5000  8 Nb 3.28, 4 Tc 3.37

Calculated values
E_form: 1.644 eV per atom
E_tot: -0.3554 Ry/atom
Space group: P4/mmm, No. 123

No. 2
Below is an optimized crystal structure of Ba2GaSbN, with properties calculated at the PBE level.

Lattice parameters (Å, degrees): 7.3576 4.3991 9.8715 90.00 111.44 90.00
With the nearest neighbours (Å) after each atom.
Fractional coordinates of all 10 atoms:
Ba 0.2062 0.2500 0.3820  2 N 3.09, 2 Ga 3.32
Ba 0.2069 0.2500 0.9740  3 N 2.66-2.89
Ba 0.7931 0.7500 0.0260  3 N 2.66-2.89
Ba 0.7938 0.7500 0.6180  2 N 3.09, 2 Ga 3.32
Ga 0.4506 0.7500 0.2628  1 N 1.88
Ga 0.5494 0.2500 0.7372  1 N 1.88
Sb 0.3174 0.7500 0.7047  2 Ga 2.73
Sb 0.6826 0.2500 0.2953  2 Ga 2.73
N 0.1801 0.7500 0.1560  1 Ga 1.88
N 0.8199 0.2500 0.8440  1 Ga 1.88

Calculated values
E_tot: -0.3342 Ry/atom
Space group: P2_1/m, No. 11
E_form (uncorrected): -65.9 kJ per mole of atoms